# PBE-GGA EuMgZnRh, relaxed
data_EuMgZnRh
_space_group_name_H-M_alt 'F -4 3 m'
_space_group_IT_number 216
_space_group_name_Hall 'F -4 2 3'
_cell_length_a 6.8629
_cell_length_b 6.8629
_cell_length_c 6.8629
_cell_angle_alpha 90.00
_cell_angle_beta 90.00
_cell_angle_gamma 90.00
loop_
_atom_site_label
_atom_site_type_symbol
_atom_site_fract_x
_atom_site_fract_y
_atom_site_fract_z
Eu1 Eu 0.0000 0.0000 0.0000
Mg1 Mg 0.0000 0.0000 0.5000
Zn1 Zn 0.2500 0.2500 0.2500
Rh1 Rh 0.2500 0.2500 0.7500
# - Energy of formation: -240 meV per atom



# PBE-GGA EuMgRu, relaxed
data_EuMgRu
_space_group_name_H-M_alt 'I 4 m m'
_space_group_IT_number 107
_space_group_name_Hall 'I 4 -2'
_cell_length_a 3.4227
_cell_length_b 3.4227
_cell_length_c 11.2321
_cell_angle_alpha 90.00
_cell_angle_beta 90.00
_cell_angle_gamma 90.00
loop_
_atom_site_label
_atom_site_type_symbol
_atom_site_fract_x
_atom_site_fract_y
_atom_site_fract_z
Eu1 Eu 0.0000 0.0000 0.0000
Mg1 Mg 0.0000 0.0000 0.2724
Ru1 Ru 0.0000 0.0000 0.6616
# - Energy of formation: 97 meV per atom



# PBE-GGA EuTmMgRu, relaxed
data_EuTmMgRu
_space_group_name_H-M_alt 'F -4 3 m'
_space_group_IT_number 216
_space_group_name_Hall 'F -4 2 3'
_cell_length_a 7.1443
_cell_length_b 7.1443
_cell_length_c 7.1443
_cell_angle_alpha 90.00
_cell_angle_beta 90.00
_cell_angle_gamma 90.00
loop_
_atom_site_label
_atom_site_type_symbol
_atom_site_fract_x
_atom_site_fract_y
_atom_site_fract_z
Eu1 Eu 0.0000 0.0000 0.0000
Tm1 Tm 0.0000 0.0000 0.5000
Mg1 Mg 0.2500 0.2500 0.2500
Ru1 Ru 0.2500 0.2500 0.7500
# - Energy of formation: -27 meV per atom



# PBE-GGA EuMgS2, relaxed
data_EuMgS2
_space_group_name_H-M_alt 'R -3 m'
_space_group_IT_number 166
_space_group_name_Hall '-R 3 2"'
_cell_length_a 3.9463
_cell_length_b 3.9463
_cell_length_c 19.2855
_cell_angle_alpha 90.00
_cell_angle_beta 90.00
_cell_angle_gamma 120.00
loop_
_atom_site_label
_atom_site_type_symbol
_atom_site_fract_x
_atom_site_fract_y
_atom_site_fract_z
Eu1 Eu 0.0000 0.0000 0.0000
Mg1 Mg 0.0000 0.0000 0.5000
S1 S 0.0000 0.0000 0.2403
# - DFT total energy: -6.750 eV/atom



# PBE-GGA Eu3MgS, relaxed
data_Eu3MgS
_space_group_name_H-M_alt 'P m -3 m'
_space_group_IT_number 221
_space_group_name_Hall '-P 4 2 3'
_cell_length_a 5.6112
_cell_length_b 5.6112
_cell_length_c 5.6112
_cell_angle_alpha 90.00
_cell_angle_beta 90.00
_cell_angle_gamma 90.00
loop_
_atom_site_label
_atom_site_type_symbol
_atom_site_fract_x
_atom_site_fract_y
_atom_site_fract_z
Eu1 Eu 0.0000 0.0000 0.5000
Mg1 Mg 0.5000 0.5000 0.5000
S1 S 0.0000 0.0000 0.0000
# - DFT total energy: -8.069 eV/atom



# PBE-GGA Eu2MgSb, relaxed
data_Eu2MgSb
_space_group_name_H-M_alt 'P 4/m m m'
_space_group_IT_number 123
_space_group_name_Hall '-P 4 2'
_cell_length_a 5.2223
_cell_length_b 5.2223
_cell_length_c 4.4470
_cell_angle_alpha 90.00
_cell_angle_beta 90.00
_cell_angle_gamma 90.00
loop_
_atom_site_label
_atom_site_type_symbol
_atom_site_fract_x
_atom_site_fract_y
_atom_site_fract_z
Eu1 Eu 0.0000 0.5000 0.0000
Mg1 Mg 0.0000 0.0000 0.5000
Sb1 Sb 0.5000 0.5000 0.5000
# - Excess energy over the best structure of this formula in the dataset: 0 meV per atom



# PBE-GGA EuMgSb, relaxed
data_EuMgSb
_space_group_name_H-M_alt 'P -6 m 2'
_space_group_IT_number 187
_space_group_name_Hall 'P -6 2'
_cell_length_a 4.7810
_cell_length_b 4.7810
_cell_length_c 4.4454
_cell_angle_alpha 90.00
_cell_angle_beta 90.00
_cell_angle_gamma 120.00
loop_
_atom_site_label
_atom_site_type_symbol
_atom_site_fract_x
_atom_site_fract_y
_atom_site_fract_z
Eu1 Eu 0.0000 0.0000 0.0000
Mg1 Mg 0.3333 0.6667 0.5000
Sb1 Sb 0.6667 0.3333 0.5000
# - Excess energy over the best structure of this formula in the dataset: 0 meV per atom



# PBE-GGA EuMg2Sb2, relaxed
data_EuMg2Sb2
_space_group_name_H-M_alt 'P -3 m 1'
_space_group_IT_number 164
_space_group_name_Hall '-P 3 2"'
_cell_length_a 4.7299
_cell_length_b 4.7299
_cell_length_c 7.6964
_cell_angle_alpha 90.00
_cell_angle_beta 90.00
_cell_angle_gamma 120.00
loop_
_atom_site_label
_atom_site_type_symbol
_atom_site_fract_x
_atom_site_fract_y
_atom_site_fract_z
Eu1 Eu 0.0000 0.0000 0.0000
Mg1 Mg 0.3333 0.6667 0.6308
Sb1 Sb 0.3333 0.6667 0.2496
# - DFT total energy: -5.081 eV/atom



# PBE-GGA Eu2MgSb, relaxed
data_Eu2MgSb
_space_group_name_H-M_alt 'F m -3 m'
_space_group_IT_number 225
_space_group_name_Hall '-F 4 2 3'
_cell_length_a 7.8616
_cell_length_b 7.8616
_cell_length_c 7.8616
_cell_angle_alpha 90.00
_cell_angle_beta 90.00
_cell_angle_gamma 90.00
loop_
_atom_site_label
_atom_site_type_symbol
_atom_site_fract_x
_atom_site_fract_y
_atom_site_fract_z
Eu1 Eu 0.2500 0.2500 0.2500
Mg1 Mg 0.0000 0.0000 0.0000
Sb1 Sb 0.0000 0.0000 0.5000
# - Excess energy over the best structure of this formula in the dataset: 50 meV per atom



# PBE-GGA EuMgSb, relaxed
data_EuMgSb
_space_group_name_H-M_alt 'I 4 m m'
_space_group_IT_number 107
_space_group_name_Hall 'I 4 -2'
_cell_length_a 3.9188
_cell_length_b 3.9188
_cell_length_c 11.3037
_cell_angle_alpha 90.00
_cell_angle_beta 90.00
_cell_angle_gamma 90.00
loop_
_atom_site_label
_atom_site_type_symbol
_atom_site_fract_x
_atom_site_fract_y
_atom_site_fract_z
Eu1 Eu 0.0000 0.0000 0.0000
Mg1 Mg 0.0000 0.0000 0.7017
Sb1 Sb 0.0000 0.0000 0.3182
# - Excess energy over the best structure of this formula in the dataset: 186 meV per atom



# PBE-GGA EuMg2Sc, relaxed
data_EuMg2Sc
_space_group_name_H-M_alt 'P 4/m m m'
_space_group_IT_number 123
_space_group_name_Hall '-P 4 2'
_cell_length_a 3.7277
_cell_length_b 3.7277
_cell_length_c 7.8843
_cell_angle_alpha 90.00
_cell_angle_beta 90.00
_cell_angle_gamma 90.00
loop_
_atom_site_label
_atom_site_type_symbol
_atom_site_fract_x
_atom_site_fract_y
_atom_site_fract_z
Eu1 Eu 0.0000 0.0000 0.0000
Mg1 Mg 0.5000 0.5000 0.2866
Sc1 Sc 0.0000 0.0000 0.5000
# - Energy of formation: -33 meV per atom



# PBE-GGA Eu2MgSc, relaxed
data_Eu2MgSc
_space_group_name_H-M_alt 'R -3 m'
_space_group_IT_number 166
_space_group_name_Hall '-R 3 2"'
_cell_length_a 3.4178
_cell_length_b 3.4178
_cell_length_c 36.7248
_cell_angle_alpha 90.00
_cell_angle_beta 90.00
_cell_angle_gamma 120.00
loop_
_atom_site_label
_atom_site_type_symbol
_atom_site_fract_x
_atom_site_fract_y
_atom_site_fract_z
Eu1 Eu 0.0000 0.0000 0.0864
Mg1 Mg 0.0000 0.0000 0.5000
Sc1 Sc 0.0000 0.0000 0.0000
# - Excess energy over the best structure of this formula in the dataset: 184 meV per atom
# - Energy of formation: 274 meV per atom



# PBE-GGA EuMg2Sc, relaxed
data_EuMg2Sc
_space_group_name_H-M_alt 'P 4/m m m'
_space_group_IT_number 123
_space_group_name_Hall '-P 4 2'
_cell_length_a 5.4430
_cell_length_b 5.4430
_cell_length_c 3.6594
_cell_angle_alpha 90.00
_cell_angle_beta 90.00
_cell_angle_gamma 90.00
loop_
_atom_site_label
_atom_site_type_symbol
_atom_site_fract_x
_atom_site_fract_y
_atom_site_fract_z
Eu1 Eu 0.0000 0.0000 0.0000
Mg1 Mg 0.0000 0.5000 0.5000
Sc1 Sc 0.5000 0.5000 0.0000
# - Energy of formation: 6 meV per atom



# PBE-GGA Eu2MgSc, relaxed
data_Eu2MgSc
_space_group_name_H-M_alt 'F m -3 m'
_space_group_IT_number 225
_space_group_name_Hall '-F 4 2 3'
_cell_length_a 7.9726
_cell_length_b 7.9726
_cell_length_c 7.9726
_cell_angle_alpha 90.00
_cell_angle_beta 90.00
_cell_angle_gamma 90.00
loop_
_atom_site_label
_atom_site_type_symbol
_atom_site_fract_x
_atom_site_fract_y
_atom_site_fract_z
Eu1 Eu 0.2500 0.2500 0.2500
Mg1 Mg 0.0000 0.0000 0.0000
Sc1 Sc 0.0000 0.0000 0.5000
# - Excess energy over the best structure of this formula in the dataset: 36 meV per atom
# - Energy of formation: 126 meV per atom



# PBE-GGA Eu2MgSc, relaxed
data_Eu2MgSc
_space_group_name_H-M_alt 'P 4/m m m'
_space_group_IT_number 123
_space_group_name_Hall '-P 4 2'
_cell_length_a 3.9877
_cell_length_b 3.9877
_cell_length_c 7.9795
_cell_angle_alpha 90.00
_cell_angle_beta 90.00
_cell_angle_gamma 90.00
loop_
_atom_site_label
_atom_site_type_symbol
_atom_site_fract_x
_atom_site_fract_y
_atom_site_fract_z
Eu1 Eu 0.0000 0.0000 0.2503
Mg1 Mg 0.5000 0.5000 0.0000
Sc1 Sc 0.5000 0.5000 0.5000
# - Excess energy over the best structure of this formula in the dataset: 0 meV per atom
# - Energy of formation: 90 meV per atom



# PBE-GGA EuMgScSn, relaxed
data_EuMgScSn
_space_group_name_H-M_alt 'F -4 3 m'
_space_group_IT_number 216
_space_group_name_Hall 'F -4 2 3'
_cell_length_a 7.4409
_cell_length_b 7.4409
_cell_length_c 7.4409
_cell_angle_alpha 90.00
_cell_angle_beta 90.00
_cell_angle_gamma 90.00
loop_
_atom_site_label
_atom_site_type_symbol
_atom_site_fract_x
_atom_site_fract_y
_atom_site_fract_z
Eu1 Eu 0.0000 0.0000 0.0000
Mg1 Mg 0.2500 0.2500 0.7500
Sc1 Sc 0.0000 0.0000 0.5000
Sn1 Sn 0.2500 0.2500 0.2500
# - Energy of formation: -351 meV per atom